VASP calculation (GGA-PBEsol) on a relaxed YTi2N crystal.

Output
Formation energy from raw total energies: -527 meV per atom
DFT total energy: -136.40 eV/cell
Symmetry: I-42d (122)
V: 323.65 Å³/cell

Cell and atoms, written as extended XYZ:
```
16
Lattice="6.119 0.000 0.000 0.000 6.119 0.000 0.000 0.000 8.645" Properties=species:S:1:pos:R:3 pbc="T T T"
Y 0.000 0.000 0.000
Y 0.000 3.059 2.161
Y 3.059 0.000 6.484
Y 3.059 3.059 4.322
Ti 0.268 1.530 5.403
Ti 1.530 3.328 7.564
Ti 1.530 5.850 3.242
Ti 2.791 1.530 1.081
Ti 3.328 4.589 1.081
Ti 4.589 0.268 3.242
Ti 4.589 2.791 7.564
Ti 5.850 4.589 5.403
N 0.000 0.000 4.322
N 0.000 3.059 6.484
N 3.059 0.000 2.161
N 3.059 3.059 0.000
```

VASP calculation (GGA-PBEsol) on a relaxed LaSc2Rh crystal.

Output
DFT total energy: -28.48 eV/cell
Symmetry: P4/mmm (123)
V: 88.39 Å³/cell
DFT formation energy: -1.79 eV per formula unit

Cell and atoms, written as extended XYZ:
```
4
Lattice="3.264 0.000 0.000 0.000 3.264 0.000 0.000 0.000 8.296" Properties=species:S:1:pos:R:3 pbc="T T T"
La 0.000 0.000 0.000
Sc 1.632 1.632 2.625
Sc 1.632 1.632 5.671
Rh 0.000 0.000 4.148
```

VASP calculation (GGA-PBEsol) on a relaxed Li2MgRh crystal.

Output
DFT total energy: -14.35 eV/cell
Symmetry: P4mm (99)
V: 61.74 Å³/cell
DFT formation energy: -0.56 eV per formula unit

Cell and atoms, written as extended XYZ:
```
4
Lattice="3.178 0.000 0.000 0.000 3.178 0.000 0.000 0.000 6.113" Properties=species:S:1:pos:R:3 pbc="T T T"
Li 0.000 0.000 0.000
Li 1.589 1.589 1.519
Mg 0.000 0.000 3.497
Rh 1.589 1.589 4.857
```

VASP calculation (GGA-PBEsol) on a relaxed Sr2NCl crystal.

Output
Formation energy from raw total energies: -1505 meV per atom
DFT total energy: -60.70 eV/cell
Symmetry: R-3m (166)
V: 269.35 Å³/cell

Cell and atoms, written as extended XYZ:
```
12
Lattice="3.854 0.000 0.000 -1.927 3.338 0.000 0.000 0.000 20.939" Properties=species:S:1:pos:R:3 pbc="T T T"
Sr 0.000 0.000 4.827
Sr 0.000 0.000 16.112
Sr 0.000 2.225 9.133
Sr 0.000 2.225 18.787
Sr 1.927 1.113 2.153
Sr 1.927 1.113 11.807
N 0.000 0.000 10.470
N 0.000 2.225 3.490
N 1.927 1.113 17.449
Cl 0.000 0.000 0.000
Cl 0.000 2.225 13.960
Cl 1.927 1.113 6.980
```

VASP calculation (GGA-PBEsol) on a relaxed BaCa3Re crystal.

Output
DFT total energy: -11.58 eV/cell
Symmetry: Pm-3m (221)
V: 168.48 Å³/cell
DFT formation energy: 10.30 eV per formula unit

Cell and atoms, written as extended XYZ:
```
5
Lattice="5.523 0.000 0.000 0.000 5.523 0.000 0.000 0.000 5.523" Properties=species:S:1:pos:R:3 pbc="T T T"
Ba 0.000 0.000 0.000
Ca 0.000 0.000 2.762
Ca 0.000 2.762 0.000
Ca 2.762 0.000 0.000
Re 2.762 2.762 2.762
```

VASP calculation (GGA-PBEsol) on a relaxed KGa3O crystal.

Output
Formation energy from raw total energies: 1538 meV per atom
DFT total energy: -8.71 eV/cell
Symmetry: Pm-3m (221)
V: 188.74 Å³/cell

Cell and atoms, written as extended XYZ:
```
5
Lattice="5.736 0.000 0.000 0.000 5.736 0.000 0.000 0.000 5.736" Properties=species:S:1:pos:R:3 pbc="T T T"
K 0.000 0.000 0.000
Ga 0.000 0.000 2.868
Ga 0.000 2.868 0.000
Ga 2.868 0.000 0.000
O 2.868 2.868 2.868
```

VASP calculation (GGA-PBEsol) on a relaxed SiNi crystal.

Output
Formation energy from raw total energies: -547 meV per atom
DFT total energy: -26.00 eV/cell
Symmetry: Pmmn (59)
V: 45.21 Å³/cell

Cell and atoms, written as extended XYZ:
```
4
Lattice="2.969 0.000 0.000 0.000 3.263 0.000 0.000 0.000 4.667" Properties=species:S:1:pos:R:3 pbc="T T T"
Si 0.742 0.816 0.735
Si 2.226 2.447 3.932
Ni 0.742 0.816 3.064
Ni 2.226 2.447 1.603
```

VASP calculation (GGA-PBEsol) on a relaxed SrLiCu2 crystal.

Output
DFT total energy: -37.23 eV/cell
Symmetry: R3m (160)
V: 245.67 Å³/cell
DFT formation energy: 0.06 eV per formula unit
Distance to the lowest polymorph of the same formula: 12.6 meV/atom

Cell and atoms, written as extended XYZ:
```
12
Lattice="4.235 0.000 0.000 -2.117 3.667 0.000 0.000 0.000 15.819" Properties=species:S:1:pos:R:3 pbc="T T T"
Sr 0.000 0.000 0.000
Sr 0.000 2.445 10.546
Sr 2.117 1.222 5.273
Li 0.000 0.000 12.831
Li 0.000 2.445 7.558
Li 2.117 1.222 2.285
Cu 0.000 0.000 3.202
Cu 0.000 0.000 8.342
Cu 0.000 2.445 3.069
Cu 0.000 2.445 13.749
Cu 2.117 1.222 8.476
Cu 2.117 1.222 13.615
```

VASP calculation (GGA-PBEsol) on a relaxed TiSe2Cl crystal.

Output
Formation energy from raw total energies: -246 meV per atom
DFT total energy: -76.06 eV/cell
Symmetry: Fm-3m (225)
V: 284.14 Å³/cell
Distance to the lowest polymorph of the same formula: 149.0 meV/atom

Cell and atoms, written as extended XYZ:
```
16
Lattice="6.574 0.000 0.000 0.000 6.574 0.000 0.000 0.000 6.574" Properties=species:S:1:pos:R:3 pbc="T T T"
Ti 0.000 0.000 0.000
Ti 0.000 3.287 3.287
Ti 3.287 0.000 3.287
Ti 3.287 3.287 0.000
Se 1.644 1.644 1.644
Se 1.644 1.644 4.931
Se 1.644 4.931 1.644
Se 1.644 4.931 4.931
Se 4.931 1.644 1.644
Se 4.931 1.644 4.931
Se 4.931 4.931 1.644
Se 4.931 4.931 4.931
Cl 0.000 0.000 3.287
Cl 0.000 3.287 0.000
Cl 3.287 0.000 0.000
Cl 3.287 3.287 3.287
```

VASP calculation (GGA-PBEsol) on a relaxed BaRe2Br crystal.

Output
Formation energy from raw total energies: 342 meV per atom
DFT total energy: -58.63 eV/cell
Symmetry: Cm (8)
V: 205.14 Å³/cell
Distance to the lowest polymorph of the same formula: 0.0 meV/atom

Cell and atoms, written as extended XYZ:
```
8
Lattice="7.530 0.000 0.000 0.000 3.574 0.000 -2.784 0.000 7.622" Properties=species:S:1:pos:R:3 pbc="T T T"
Ba 0.000 0.000 0.000
Ba 3.765 1.787 0.000
Re -0.569 0.000 5.376
Re 1.798 0.000 4.565
Re 3.196 1.787 5.376
Re 5.563 1.787 4.565
Br 1.483 1.787 2.392
Br 5.248 0.000 2.392
```

VASP calculation (GGA-PBEsol) on a relaxed PbCN3 crystal.

Output
Formation energy from raw total energies: 3589 meV per atom
DFT total energy: -21.28 eV/cell
Symmetry: Pm-3m (221)
V: 82.46 Å³/cell

Cell and atoms, written as extended XYZ:
```
5
Lattice="4.353 0.000 0.000 0.000 4.353 0.000 0.000 0.000 4.353" Properties=species:S:1:pos:R:3 pbc="T T T"
Pb 0.000 0.000 0.000
C 2.176 2.176 2.176
N 0.000 0.000 2.176
N 0.000 2.176 0.000
N 2.176 0.000 0.000
```

VASP calculation (GGA-PBEsol) on a relaxed KInFe2 crystal.

Output
DFT total energy: -17.60 eV/cell
Symmetry: Pmmm (47)
V: 74.12 Å³/cell
DFT formation energy: 4.44 eV per formula unit

Cell and atoms, written as extended XYZ:
```
4
Lattice="2.845 0.000 0.000 0.000 4.900 0.000 0.000 0.000 5.317" Properties=species:S:1:pos:R:3 pbc="T T T"
K 0.000 0.000 0.000
In 1.422 0.000 2.658
Fe 0.000 2.450 2.658
Fe 1.422 2.450 0.000
```

VASP calculation (GGA-PBEsol) on a relaxed In3Se2 crystal.

Output
Formation energy from raw total energies: -374 meV per atom
DFT total energy: -55.55 eV/cell
Symmetry: R-3m (166)
V: 386.09 Å³/cell

Cell and atoms, written as extended XYZ:
```
15
Lattice="4.068 0.000 0.000 -2.034 3.523 0.000 0.000 0.000 26.946" Properties=species:S:1:pos:R:3 pbc="T T T"
In 0.000 0.000 0.000
In 0.000 0.000 5.523
In 0.000 0.000 21.423
In 0.000 2.348 12.441
In 0.000 2.348 17.964
In 0.000 2.348 23.487
In 2.034 1.174 3.459
In 2.034 1.174 8.982
In 2.034 1.174 14.505
Se 0.000 0.000 10.878
Se 0.000 0.000 16.068
Se 0.000 2.348 1.896
Se 0.000 2.348 7.086
Se 2.034 1.174 19.860
Se 2.034 1.174 25.050
```

VASP calculation (GGA-PBEsol) on a relaxed Sr3CdRh crystal.

Output
DFT total energy: -15.34 eV/cell
Symmetry: Pm-3m (221)
V: 182.96 Å³/cell
DFT formation energy: -0.48 eV per formula unit

Cell and atoms, written as extended XYZ:
```
5
Lattice="5.677 0.000 0.000 0.000 5.677 0.000 0.000 0.000 5.677" Properties=species:S:1:pos:R:3 pbc="T T T"
Sr 0.000 0.000 2.838
Sr 0.000 2.838 0.000
Sr 2.838 0.000 0.000
Cd 2.838 2.838 2.838
Rh 0.000 0.000 0.000
```

VASP calculation (GGA-PBEsol) on a relaxed KFeCo crystal.

Output
DFT total energy: -51.54 eV/cell
Symmetry: F-43m (216)
V: 233.74 Å³/cell
DFT formation energy: 4.95 eV per formula unit
Distance to the lowest polymorph of the same formula: 829.9 meV/atom

Cell and atoms, written as extended XYZ:
```
12
Lattice="6.160 0.000 0.000 0.000 6.160 0.000 0.000 0.000 6.160" Properties=species:S:1:pos:R:3 pbc="T T T"
K 0.000 0.000 0.000
K 0.000 3.080 3.080
K 3.080 0.000 3.080
K 3.080 3.080 0.000
Fe 0.000 0.000 3.080
Fe 0.000 3.080 0.000
Fe 3.080 0.000 0.000
Fe 3.080 3.080 3.080
Co 1.540 1.540 4.620
Co 1.540 4.620 1.540
Co 4.620 1.540 1.540
Co 4.620 4.620 4.620
```